(1)
{"formula": "AgTeAs2I", "functional": "PBE", "state": "relaxed", "space_group": "P4/mmm (123)", "e_form_raw_mev_per_atom": 1232, "n_ef_per_ev_atom": 1.13, "total_energy_ha_per_atom": -0.0785, "lattice": [[5.4074, 0.0000, 0.0000], [0.0000, 5.4074, 0.0000], [0.0000, 0.0000, 5.8459]], "species": ["Ag", "Te", "As", "As", "I"], "fractional_positions": [[0.0000, 0.0000, 0.0000], [0.5000, 0.5000, 0.0000], [0.0000, 0.5000, 0.5000], [0.5000, 0.0000, 0.5000], [0.5000, 0.5000, 0.5000]]}

***

(2)
{"formula": "NaLiCa2Cl6", "functional": "PBE", "state": "relaxed", "space_group": "R3 (146)", "e_form_raw_mev_per_atom": -2148, "n_ef_per_ev_atom": 0.00, "total_energy_ha_per_atom": -0.1462, "lattice": [[3.4391, 1.9856, 6.2294], [-3.4391, 1.9856, 6.2294], [0.0000, -3.9711, 6.2294]], "species": ["Na", "Li", "Ca", "Ca", "Cl", "Cl", "Cl", "Cl", "Cl", "Cl"], "fractional_positions": [[0.0000, 0.0000, 0.0000], [0.4955, 0.4955, 0.4955], [0.2984, 0.2984, 0.2984], [0.8018, 0.8018, 0.8018], [0.0983, 0.6945, 0.4045], [0.2186, 0.5855, 0.8815], [0.4045, 0.0983, 0.6945], [0.5855, 0.8815, 0.2186], [0.6945, 0.4045, 0.0983], [0.8815, 0.2186, 0.5855]]}

***

(3)
{"formula": "Nb2Al4Pt", "functional": "PBE", "state": "relaxed", "formation_energy_mev_per_atom": 295, "space_group": "I4/mmm (139)", "n_ef_per_ev_atom": 0.64, "total_energy_ha_per_atom": -0.2052, "lattice": [[-2.3933, 2.3933, 6.5125], [2.3933, -2.3933, 6.5125], [2.3933, 2.3933, -6.5125]], "species": ["Nb", "Nb", "Al", "Al", "Al", "Al", "Pt"], "fractional_positions": [[0.1005, 0.1005, 0.0000], [0.8995, 0.8995, 0.0000], [0.0000, 0.5000, 0.5000], [0.3091, 0.3091, 0.0000], [0.5000, 0.0000, 0.5000], [0.6909, 0.6909, 0.0000], [0.5000, 0.5000, 0.0000]]}

***

(4)
{"formula": "TcPtRhS2", "functional": "PBE", "state": "relaxed", "space_group": "P4/mmm (123)", "e_form_raw_mev_per_atom": 1064, "n_ef_per_ev_atom": 1.16, "total_energy_ha_per_atom": -0.1962, "lattice": [[4.4488, 0.0000, 0.0000], [0.0000, 4.4488, 0.0000], [0.0000, 0.0000, 5.1034]], "species": ["Tc", "Pt", "Rh", "S", "S"], "fractional_positions": [[0.0000, 0.0000, 0.0000], [0.5000, 0.5000, 0.0000], [0.5000, 0.5000, 0.5000], [0.0000, 0.5000, 0.5000], [0.5000, 0.0000, 0.5000]]}

***

(5)
{"formula": "LuV2Tc", "functional": "PBE", "state": "relaxed", "e_above_lowest_polymorph_mev_per_atom": 101.4, "formation_energy_mev_per_atom": 169, "space_group": "R-3m (166)", "n_ef_per_ev_atom": 0.89, "total_energy_ha_per_atom": -0.2981, "lattice": [[2.1140, 1.2205, 4.7874], [-2.1140, 1.2205, 4.7874], [0.0000, -2.4411, 4.7874]], "species": ["Lu", "V", "V", "Tc"], "fractional_positions": [[0.0000, 0.0000, 0.0000], [0.2047, 0.2047, 0.2047], [0.7953, 0.7953, 0.7953], [0.5000, 0.5000, 0.5000]]}

***

(6)
{"formula": "Th8Si3GeSe4", "functional": "PBE", "state": "relaxed", "space_group": "R-3m (166)", "e_form_raw_mev_per_atom": -1192, "n_ef_per_ev_atom": 0.72, "total_energy_ha_per_atom": -0.2601, "lattice": [[4.2681, 2.4642, 6.9194], [-4.2681, 2.4642, 6.9194], [0.0000, -4.9283, 6.9194]], "species": ["Th", "Th", "Th", "Th", "Th", "Th", "Th", "Th", "Si", "Si", "Si", "Ge", "Se", "Se", "Se", "Se"], "fractional_positions": [[0.2403, 0.7470, 0.7470], [0.2438, 0.2438, 0.2438], [0.2530, 0.2530, 0.7597], [0.2530, 0.7597, 0.2530], [0.7470, 0.2403, 0.7470], [0.7470, 0.7470, 0.2403], [0.7562, 0.7562, 0.7562], [0.7597, 0.2530, 0.2530], [0.0000, 0.0000, 0.5000], [0.0000, 0.5000, 0.0000], [0.5000, 0.0000, 0.0000], [0.5000, 0.5000, 0.5000], [0.0000, 0.0000, 0.0000], [0.0000, 0.5000, 0.5000], [0.5000, 0.0000, 0.5000], [0.5000, 0.5000, 0.0000]]}

***

(7)
{"formula": "Pr7Nd12Ho", "functional": "PBE", "state": "relaxed", "e_above_lowest_polymorph_mev_per_atom": 380.4, "formation_energy_mev_per_atom": 591, "space_group": "Im-3m (229)", "n_ef_per_ev_atom": 1.48, "total_energy_ha_per_atom": -0.1533, "lattice": [[-5.8537, 5.8537, 5.8537], [5.8537, -5.8537, 5.8537], [5.8537, 5.8537, -5.8537]], "species": ["Pr", "Pr", "Pr", "Pr", "Pr", "Pr", "Pr", "Nd", "Nd", "Nd", "Nd", "Nd", "Nd", "Nd", "Nd", "Nd", "Nd", "Nd", "Nd", "Ho"], "fractional_positions": [[0.0000, 0.0000, 0.5000], [0.0000, 0.5000, 0.0000], [0.0000, 0.5000, 0.5000], [0.5000, 0.0000, 0.0000], [0.5000, 0.0000, 0.5000], [0.5000, 0.5000, 0.0000], [0.5000, 0.5000, 0.5000], [0.0000, 0.2464, 0.7536], [0.0000, 0.7536, 0.2464], [0.2464, 0.0000, 0.7536], [0.2464, 0.2464, 0.4927], [0.2464, 0.4927, 0.2464], [0.2464, 0.7536, 0.0000], [0.4927, 0.2464, 0.2464], [0.5073, 0.7536, 0.7536], [0.7536, 0.0000, 0.2464], [0.7536, 0.2464, 0.0000], [0.7536, 0.5073, 0.7536], [0.7536, 0.7536, 0.5073], [0.0000, 0.0000, 0.0000]]}

***

(8)
{"formula": "Nb2SnPb2", "functional": "PBE", "state": "relaxed", "e_above_lowest_polymorph_mev_per_atom": 0.0, "formation_energy_mev_per_atom": 261, "space_group": "P4/mbm (127)", "n_ef_per_ev_atom": 0.69, "total_energy_ha_per_atom": -0.2224, "lattice": [[7.4402, 0.0000, 0.0000], [0.0000, 7.4402, 0.0000], [0.0000, 0.0000, 4.1855]], "species": ["Nb", "Nb", "Nb", "Nb", "Sn", "Sn", "Pb", "Pb", "Pb", "Pb"], "fractional_positions": [[0.1366, 0.3634, 0.0000], [0.3634, 0.8634, 0.0000], [0.6366, 0.1366, 0.0000], [0.8634, 0.6366, 0.0000], [0.0000, 0.0000, 0.0000], [0.5000, 0.5000, 0.0000], [0.1626, 0.6626, 0.5000], [0.3374, 0.1626, 0.5000], [0.6626, 0.8374, 0.5000], [0.8374, 0.3374, 0.5000]]}

***

(9)
{"formula": "SrTb2Tl3Te6", "functional": "PBE", "state": "relaxed", "space_group": "C2/m (12)", "e_form_raw_mev_per_atom": -1003, "n_ef_per_ev_atom": 0.53, "total_energy_ha_per_atom": -0.1498, "lattice": [[3.9621, -6.8587, 0.0000], [3.9621, 6.8587, 0.0000], [-2.6571, 0.0000, 7.9586]], "species": ["Sr", "Tb", "Tb", "Tl", "Tl", "Tl", "Te", "Te", "Te", "Te", "Te", "Te"], "fractional_positions": [[0.0000, 0.0000, 0.0000], [0.3312, 0.6688, 0.0000], [0.6688, 0.3312, 0.0000], [0.1611, 0.8389, 0.5000], [0.5000, 0.5000, 0.5000], [0.8389, 0.1611, 0.5000], [0.0757, 0.4281, 0.2239], [0.2812, 0.2812, 0.7830], [0.4281, 0.0757, 0.2239], [0.5719, 0.9243, 0.7761], [0.7188, 0.7188, 0.2170], [0.9243, 0.5719, 0.7761]]}

***

(10)
{"formula": "Cs2TiGaCl6", "functional": "PBE", "state": "relaxed", "space_group": "Fm-3m (225)", "e_form_raw_mev_per_atom": -1614, "n_ef_per_ev_atom": 0.82, "total_energy_ha_per_atom": -0.1464, "lattice": [[0.0000, 5.3786, 5.3786], [5.3786, 0.0000, 5.3786], [5.3786, 5.3786, 0.0000]], "species": ["Cs", "Cs", "Ti", "Ga", "Cl", "Cl", "Cl", "Cl", "Cl", "Cl"], "fractional_positions": [[0.2500, 0.2500, 0.2500], [0.7500, 0.7500, 0.7500], [0.0000, 0.0000, 0.0000], [0.5000, 0.5000, 0.5000], [0.2276, 0.2276, 0.7724], [0.2276, 0.7724, 0.2276], [0.2276, 0.7724, 0.7724], [0.7724, 0.2276, 0.2276], [0.7724, 0.2276, 0.7724], [0.7724, 0.7724, 0.2276]]}

***

(11)
{"formula": "CsGa3Rh", "functional": "PBE", "state": "relaxed", "e_above_lowest_polymorph_mev_per_atom": 0.0, "formation_energy_mev_per_atom": -244, "space_group": "Pm-3m (221)", "n_ef_per_ev_atom": 0.93, "total_energy_ha_per_atom": -0.1360, "lattice": [[4.9601, 0.0000, 0.0000], [0.0000, 4.9601, 0.0000], [0.0000, 0.0000, 4.9601]], "species": ["Cs", "Ga", "Ga", "Ga", "Rh"], "fractional_positions": [[0.0000, 0.0000, 0.0000], [0.0000, 0.5000, 0.5000], [0.5000, 0.0000, 0.5000], [0.5000, 0.5000, 0.0000], [0.5000, 0.5000, 0.5000]]}

***

(12)
{"formula": "LaCr2AsPb", "functional": "PBE", "state": "relaxed", "formation_energy_mev_per_atom": 683, "space_group": "P4/mmm (123)", "n_ef_per_ev_atom": 2.08, "total_energy_ha_per_atom": -0.2140, "lattice": [[4.5893, 0.0000, 0.0000], [0.0000, 4.5893, 0.0000], [0.0000, 0.0000, 5.6448]], "species": ["La", "Cr", "Cr", "As", "Pb"], "fractional_positions": [[0.0000, 0.0000, 0.0000], [0.0000, 0.5000, 0.5000], [0.5000, 0.0000, 0.5000], [0.5000, 0.5000, 0.5000], [0.5000, 0.5000, 0.0000]]}

***

(13)
{"formula": "La3Tb3Pr4", "functional": "PBE", "state": "relaxed", "formation_energy_mev_per_atom": 88, "space_group": "Amm2 (38)", "n_ef_per_ev_atom": 1.29, "total_energy_ha_per_atom": -0.1724, "lattice": [[3.8751, 0.0000, 0.0000], [0.0000, 6.8391, 6.7965], [0.0000, -6.8391, 6.7965]], "species": ["La", "La", "La", "Tb", "Tb", "Tb", "Pr", "Pr", "Pr", "Pr"], "fractional_positions": [[0.0000, 0.0000, 0.0000], [0.5000, 0.3366, 0.8276], [0.5000, 0.8276, 0.3366], [0.0000, 0.1632, 0.5008], [0.0000, 0.5008, 0.1632], [0.0000, 0.6606, 0.6606], [0.5000, 0.2043, 0.2043], [0.5000, 0.4591, 0.4591], [0.5000, 0.6980, 0.9579], [0.5000, 0.9579, 0.6980]]}

***

(14)
{"formula": "LiSmErPb", "functional": "PBE", "state": "relaxed", "formation_energy_mev_per_atom": -271, "space_group": "F-43m (216)", "n_ef_per_ev_atom": 0.85, "total_energy_ha_per_atom": -0.1469, "lattice": [[0.0000, 3.7581, 3.7581], [3.7581, 0.0000, 3.7581], [3.7581, 3.7581, 0.0000]], "species": ["Li", "Sm", "Er", "Pb"], "fractional_positions": [[0.0000, 0.0000, 0.0000], [0.2500, 0.2500, 0.2500], [0.7500, 0.7500, 0.7500], [0.5000, 0.5000, 0.5000]]}

***

(15)
{"formula": "YTaNi3", "functional": "PBE", "state": "relaxed", "e_above_lowest_polymorph_mev_per_atom": 0.0, "formation_energy_mev_per_atom": 449, "space_group": "Pm-3m (221)", "n_ef_per_ev_atom": 0.86, "total_energy_ha_per_atom": -0.2456, "lattice": [[4.5892, 0.0000, 0.0000], [0.0000, 4.5892, 0.0000], [0.0000, 0.0000, 4.5892]], "species": ["Y", "Ta", "Ni", "Ni", "Ni"], "fractional_positions": [[0.0000, 0.0000, 0.0000], [0.5000, 0.5000, 0.5000], [0.0000, 0.5000, 0.5000], [0.5000, 0.0000, 0.5000], [0.5000, 0.5000, 0.0000]]}

***

(16)
{"formula": "Na4Ho3GaTe8", "functional": "PBE", "state": "relaxed", "space_group": "R-3m (166)", "e_form_raw_mev_per_atom": -1068, "n_ef_per_ev_atom": 0.15, "total_energy_ha_per_atom": -0.1476, "lattice": [[4.3618, 2.5183, 7.5798], [-4.3618, 2.5183, 7.5798], [0.0000, -5.0366, 7.5798]], "species": ["Na", "Na", "Na", "Na", "Ho", "Ho", "Ho", "Ga", "Te", "Te", "Te", "Te", "Te", "Te", "Te", "Te"], "fractional_positions": [[0.0000, 0.0000, 0.0000], [0.0000, 0.5000, 0.5000], [0.5000, 0.0000, 0.5000], [0.5000, 0.5000, 0.0000], [0.0000, 0.0000, 0.5000], [0.0000, 0.5000, 0.0000], [0.5000, 0.0000, 0.0000], [0.5000, 0.5000, 0.5000], [0.2443, 0.2443, 0.2443], [0.2539, 0.7349, 0.7349], [0.2651, 0.2651, 0.7461], [0.2651, 0.7461, 0.2651], [0.7349, 0.2539, 0.7349], [0.7349, 0.7349, 0.2539], [0.7461, 0.2651, 0.2651], [0.7557, 0.7557, 0.7557]]}

***

(17)
{"formula": "Hg2RhAu", "functional": "PBE", "state": "relaxed", "formation_energy_mev_per_atom": 171, "space_group": "C2/m (12)", "n_ef_per_ev_atom": 0.59, "total_energy_ha_per_atom": -0.0969, "lattice": [[4.5648, -1.5963, 0.0000], [4.5648, 1.5963, 0.0000], [-1.1117, 0.0000, 5.2151]], "species": ["Hg", "Hg", "Rh", "Au"], "fractional_positions": [[0.2450, 0.2450, 0.2398], [0.7550, 0.7550, 0.7602], [0.5000, 0.5000, 0.0000], [0.0000, 0.0000, 0.5000]]}

***

(18)
{"formula": "Dy2Y3Tm2", "functional": "PBE", "state": "relaxed", "e_above_lowest_polymorph_mev_per_atom": 0.0, "formation_energy_mev_per_atom": 26, "space_group": "P-1 (2)", "n_ef_per_ev_atom": 1.45, "total_energy_ha_per_atom": -0.1961, "lattice": [[3.5353, 0.0000, 0.0000], [1.7661, 5.8694, 0.0000], [0.0140, 1.0769, 10.5742]], "species": ["Dy", "Dy", "Y", "Y", "Y", "Tm", "Tm"], "fractional_positions": [[0.2159, 0.0693, 0.3574], [0.7841, 0.9307, 0.6426], [0.3573, 0.7841, 0.9278], [0.5000, 0.5000, 0.5000], [0.6427, 0.2159, 0.0722], [0.0721, 0.3559, 0.7858], [0.9279, 0.6441, 0.2142]]}

***

(19)
{"formula": "SrCePd4", "functional": "PBE", "state": "relaxed", "formation_energy_mev_per_atom": -632, "space_group": "F-43m (216)", "n_ef_per_ev_atom": 1.99, "total_energy_ha_per_atom": -0.1971, "lattice": [[0.0000, 3.9227, 3.9227], [3.9227, 0.0000, 3.9227], [3.9227, 3.9227, 0.0000]], "species": ["Sr", "Ce", "Pd", "Pd", "Pd", "Pd"], "fractional_positions": [[0.0000, 0.0000, 0.0000], [0.2500, 0.2500, 0.2500], [0.1256, 0.6248, 0.6248], [0.6248, 0.1256, 0.6248], [0.6248, 0.6248, 0.1256], [0.6248, 0.6248, 0.6248]]}

***

(20)
{"formula": "CsS2I", "functional": "PBE", "state": "relaxed", "e_above_lowest_polymorph_mev_per_atom": 0.0, "space_group": "I-42d (122)", "e_form_raw_mev_per_atom": -84, "n_ef_per_ev_atom": 0.03, "total_energy_ha_per_atom": -0.1010, "lattice": [[-3.3950, 3.3950, 7.5967], [3.3950, -3.3950, 7.5967], [3.3950, 3.3950, -7.5967]], "species": ["Cs", "Cs", "S", "S", "S", "S", "I", "I"], "fractional_positions": [[0.0000, 0.0000, 0.0000], [0.7500, 0.2500, 0.5000], [0.2671, 0.6250, 0.1421], [0.3750, 0.5171, 0.6421], [0.4829, 0.1250, 0.8579], [0.8750, 0.7329, 0.3579], [0.2500, 0.7500, 0.5000], [0.5000, 0.5000, 0.0000]]}